VASP calculation (meta-GGA SCAN) on a crystal of YAs2Se relaxed with PBEsol.

```
YAs2Se
1.0
3.844 0.000 0.000
0.000 3.844 0.000
0.000 0.000 5.983
Se Y As
1 1 2
Direct
0.000 0.000 0.564
0.500 0.500 0.690
0.000 0.000 0.087
0.500 0.500 0.159
```

Calculated values
- space group = No. 99
- DOS(E_F) (states/eV per cell) = 1.3
- total moment (μB per atom) = 0.000
- theoretical density (kg/m³) = 5966

VASP calculation (meta-GGA SCAN) on a crystal of Sr3GeO5 relaxed with PBEsol.

```
Sr3GeO5
1.0
6.836 0.000 0.000
-3.418 6.592 -0.041
0.000 3.580 5.824
Sr O Ge
6 10 2
Direct
0.570 0.501 0.930
0.511 0.023 0.489
0.070 0.501 0.070
0.430 0.501 0.430
0.930 0.501 0.570
0.011 0.023 0.989
0.455 0.193 0.762
0.759 0.802 0.457
0.259 0.802 0.241
0.043 0.802 0.741
0.238 0.193 0.262
0.955 0.193 0.545
0.737 0.474 0.263
0.543 0.802 0.957
0.237 0.474 0.763
0.738 0.193 0.045
0.499 0.998 0.001
0.999 0.998 0.501
```

Calculated values
- relative energy among the computed polymorphs (eV per atom) = 0.0179
- space group = No. 108
- DOS(E_F) (states/eV per cell) = 0.0
- total moment (μB per atom) = 0.000
- theoretical density (kg/m³) = 5238

VASP calculation (meta-GGA SCAN) on a crystal of LaBN2 relaxed with PBEsol.

```
LaBN2
1.0
6.553 0.040 0.010
-2.981 6.139 -0.007
-0.082 -2.400 7.373
N La B
12 6 6
Direct
0.854 0.629 0.620
0.766 0.049 0.420
0.148 0.363 0.043
0.760 0.086 0.839
0.516 0.519 0.252
0.484 0.481 0.748
0.240 0.914 0.161
0.771 0.218 0.172
0.146 0.371 0.380
0.852 0.637 0.957
0.234 0.951 0.580
0.229 0.782 0.828
0.056 0.333 0.701
0.461 0.215 0.939
0.471 0.220 0.422
0.944 0.667 0.299
0.529 0.780 0.578
0.539 0.785 0.061
0.898 0.223 0.014
0.267 0.422 0.226
0.733 0.578 0.774
0.899 0.210 0.328
0.101 0.790 0.672
0.102 0.777 0.986
```

Calculated values
- space group = No. 2
- DOS(E_F) (states/eV per cell) = 0.0
- total moment (μB per atom) = 0.000
- theoretical density (kg/m³) = 5953

VASP calculation (meta-GGA SCAN) on a crystal of TaTiCN relaxed with PBEsol.

```
TaTiCN
1.0
-0.453 0.699 -2.950
-2.237 -1.381 -1.576
-4.099 3.413 -0.153
Ti C N Ta
1 1 1 1
Direct
0.746 0.746 0.761
0.002 0.002 0.993
0.499 0.499 0.503
0.253 0.253 0.242
```

Calculated values
- space group = No. 160
- DOS(E_F) (states/eV per cell) = 1.2
- total moment (μB per atom) = 0.000
- theoretical density (kg/m³) = 10332

VASP calculation (meta-GGA SCAN) on a crystal of Ta3FeBr relaxed with PBEsol.

```
Ta3FeBr
1.0
4.599 0.000 0.000
0.000 4.599 0.000
0.000 0.000 4.599
Fe Ta Br
1 3 1
Direct
0.000 0.000 0.000
0.500 0.000 0.000
0.000 0.500 0.000
0.000 0.000 0.500
0.500 0.500 0.500
```

Calculated values
- space group = No. 221
- DOS(E_F) (states/eV per cell) = 6.3
- total moment (μB per atom) = 0.000
- theoretical density (kg/m³) = 11581

VASP calculation (meta-GGA SCAN) on a crystal of HoInRh2 relaxed with PBEsol.

```
HoInRh2
1.0
-2.711 3.257 -1.805
-4.059 0.961 1.954
-0.599 3.990 2.222
Ho In Rh
1 1 2
Direct
0.500 0.500 0.500
0.000 0.000 0.000
0.250 0.250 0.250
0.750 0.750 0.750
```

Calculated values
- space group = No. 225
- DFT formation energy (eV per atom) = -0.87
- DOS(E_F) (states/eV per cell) = 0.7
- total moment (μB per atom) = 0.000
- theoretical density (kg/m³) = 11667

VASP calculation (meta-GGA SCAN) on a crystal of Rb2SbSe relaxed with PBEsol.

```
Rb2SbSe
1.0
-5.615 0.283 -1.718
-2.746 -4.846 -1.882
-4.207 -2.459 3.288
Rb Sb Se
2 1 1
Direct
0.750 0.750 0.750
0.250 0.250 0.250
0.000 0.000 0.000
0.500 0.500 0.500
```

Calculated values
- space group = No. 225
- DOS(E_F) (states/eV per cell) = 1.9
- total moment (μB per atom) = 0.719
- theoretical density (kg/m³) = 4295

VASP calculation (meta-GGA SCAN) on a crystal of Sc4ZnSe relaxed with PBEsol.

```
Sc4ZnSe
1.0
-4.135 -3.721 -1.026
1.072 -5.550 0.216
-2.103 -3.125 4.220
Zn Sc Se
1 4 1
Direct
0.000 0.000 0.000
0.374 0.374 0.878
0.374 0.878 0.374
0.878 0.374 0.374
0.374 0.374 0.374
0.750 0.750 0.750
```

Calculated values
- space group = No. 216
- DOS(E_F) (states/eV per cell) = 7.3
- total moment (μB per atom) = 0.000
- theoretical density (kg/m³) = 4206

VASP calculation (meta-GGA SCAN) on a crystal of Cs2CaReCl relaxed with PBEsol.

```
Cs2CaReCl
1.0
-2.096 -2.011 -3.319
-2.788 -4.140 4.268
-5.061 4.126 0.696
Cl Cs Re Ca
1 2 1 1
Direct
0.000 0.000 0.000
0.000 0.000 0.500
0.000 0.500 0.000
0.500 0.000 0.000
0.500 0.500 0.500
```

Calculated values
- space group = No. 123
- DOS(E_F) (states/eV per cell) = 2.8
- total moment (μB per atom) = 0.253
- theoretical density (kg/m³) = 4606

VASP calculation (meta-GGA SCAN) on a crystal of Rb3Na relaxed with PBEsol.

```
Rb3Na
1.0
7.360 0.000 0.000
3.680 6.374 0.000
3.680 2.125 6.009
Na Rb
1 3
Direct
0.000 0.000 0.000
0.750 0.750 0.750
0.250 0.250 0.250
0.500 0.500 0.500
```

Calculated values
- space group = No. 225
- DFT formation energy (eV per atom) = 0.03
- DOS(E_F) (states/eV per cell) = 2.7
- total moment (μB per atom) = 0.006
- theoretical density (kg/m³) = 1646

VASP calculation (meta-GGA SCAN) on a crystal of CaMoRh2 relaxed with PBEsol.

```
CaMoRh2
1.0
2.816 0.000 0.000
0.000 2.816 0.000
0.000 0.000 8.429
Rh Ca Mo
2 1 1
Direct
0.000 0.000 0.000
0.500 0.500 0.224
0.000 0.000 0.476
0.500 0.500 0.800
```

Calculated values
- relative energy among the computed polymorphs (eV per atom) = 0.4410
- space group = No. 99
- DFT formation energy (eV per atom) = 0.30
- DOS(E_F) (states/eV per cell) = 5.1
- total moment (μB per atom) = 0.000
- theoretical density (kg/m³) = 8491

VASP calculation (meta-GGA SCAN) on a crystal of LaYMg2 relaxed with PBEsol.

```
LaYMg2
1.0
3.814 0.000 0.000
0.000 3.814 0.000
0.000 0.000 7.712
La Mg Y
1 2 1
Direct
0.500 0.500 0.000
0.000 0.000 0.735
0.000 0.000 0.265
0.500 0.500 0.500
```

Calculated values
- space group = No. 123
- DFT formation energy (eV per atom) = -0.12
- DOS(E_F) (states/eV per cell) = 4.1
- total moment (μB per atom) = 0.059
- theoretical density (kg/m³) = 4091

| no. | E_tot (eV per atom) |
| --- | --- |
| 1 | -22.94 |
| 2 | -15.79 |
| 3 | -18.91 |
| 4 | -26.70 |
| 5 | -46.33 |
| 6 | -38.35 |
| 7 | -25.04 |
| 8 | -14.84 |
| 9 | -32.15 |
| 10 | -16.58 |
| 11 | -27.73 |
| 12 | -20.35 |